Crystalline NpAgRhO6 at its relaxed geometry. Source: Alexandria, functional PBE.

Values from the calculation:
- Final energy: -7.34 eV/atom
- Crystal system: trigonal
- Magnetization: 0.2 μB/f.u.
- Formation energy from raw total energies: -13.2 eV/f.u.

Lattice parameters (Å, degrees): 5.3139 5.3139 9.9735 90.00 90.00 120.00
With the nearest neighbours (Å) after each atom.
Fractional coordinates of all 18 atoms:
O 0.9972 0.6423 0.8604  1 Rh 2.03, 1 Np 2.05
Np 0.6667 0.3333 0.2500  6 O 2.05
O 0.9972 0.3549 0.6396  1 Rh 2.03, 1 Np 2.05
O 0.6451 0.0028 0.8604  1 Rh 2.03, 1 Np 2.05
Rh 0.3333 0.6667 0.2500  6 O 2.03
O 0.6451 0.6423 0.6396  1 Rh 2.03, 1 Np 2.05
Rh 0.6667 0.3333 0.7500  6 O 2.03
Ag 0.0000 0.0000 0.0000  6 O 2.35
O 0.0028 0.6451 0.3604  1 Rh 2.03, 1 Np 2.05
O 0.3577 0.3549 0.8604  1 Rh 2.03, 1 Np 2.05
O 0.3549 0.9972 0.1396  1 Rh 2.03, 1 Np 2.05
Np 0.3333 0.6667 0.7500  6 O 2.05
O 0.0028 0.3577 0.1396  1 Rh 2.03, 1 Np 2.05
O 0.3577 0.0028 0.6396  1 Rh 2.03, 1 Np 2.05
O 0.3549 0.3577 0.3604  1 Rh 2.03, 1 Np 2.05
O 0.6423 0.6451 0.1396  1 Rh 2.03, 1 Np 2.05
Ag 0.0000 0.0000 0.5000  6 O 2.35
O 0.6423 0.9972 0.3604  1 Rh 2.03, 1 Np 2.05



Crystalline NpAgRuO6 at its relaxed geometry. Source: Alexandria, functional PBE.

Values from the calculation:
- Final energy: -7.63 eV/atom
- Crystal system: trigonal
- Magnetization: 2.2 μB/f.u.
- Formation energy from raw total energies: -13.8 eV/f.u.

Lattice parameters (Å, degrees): 5.3642 5.3642 9.8997 90.00 90.00 120.00
With the nearest neighbours (Å) after each atom.
Fractional coordinates of all 18 atoms:
O 0.9900 0.3555 0.6409  1 Ru 2.00, 1 Np 2.07
O 0.0100 0.6445 0.3591  1 Ru 2.00, 1 Np 2.07
O 0.9900 0.6344 0.8591  1 Ru 2.00, 1 Np 2.07
O 0.6445 0.6344 0.6409  1 Ru 2.00, 1 Np 2.07
O 0.6344 0.9900 0.3591  1 Ru 2.00, 1 Np 2.07
O 0.3555 0.9900 0.1409  1 Ru 2.00, 1 Np 2.07
Ru 0.6667 0.3333 0.7500  6 O 2.00
O 0.0100 0.3656 0.1409  1 Ru 2.00, 1 Np 2.07
Ag 0.0000 0.0000 0.5000  6 O 2.38
O 0.3656 0.0100 0.6409  1 Ru 2.00, 1 Np 2.07
Np 0.6667 0.3333 0.2500  6 O 2.07
Np 0.3333 0.6667 0.7500  6 O 2.07
O 0.6445 0.0100 0.8591  1 Ru 2.00, 1 Np 2.07
Ag 0.0000 0.0000 0.0000  6 O 2.38
O 0.6344 0.6445 0.1409  1 Ru 2.00, 1 Np 2.07
O 0.3656 0.3555 0.8591  1 Ru 2.00, 1 Np 2.07
O 0.3555 0.3656 0.3591  1 Ru 2.00, 1 Np 2.07
Ru 0.3333 0.6667 0.2500  6 O 2.00



Crystalline NpAgS2O8 at its relaxed geometry. Source: Alexandria, functional PBE.

Values from the calculation:
- Final energy: -6.81 eV/atom
- Crystal system: trigonal
- Magnetization: 4.0 μB/f.u.
- Formation energy from raw total energies: -18.0 eV/f.u.

Lattice parameters (Å, degrees): 5.5799 5.5799 7.0110 90.00 90.00 120.00
With the nearest neighbours (Å) after each atom.
Fractional coordinates of all 12 atoms:
Ag 0.0000 0.0000 0.5000  6 O 2.72
O 0.3760 0.1880 0.2111  1 S 1.51
O 0.3333 0.6667 0.5041  1 S 1.44
S 0.3333 0.6667 0.7101  4 O 1.44-1.51
O 0.6667 0.3333 0.4959  1 S 1.44
O 0.1880 0.3760 0.7889  1 S 1.51
S 0.6667 0.3333 0.2899  4 O 1.44-1.51
O 0.1880 0.8120 0.7889  1 S 1.51
Np 0.0000 0.0000 0.0000  6 O 2.34
O 0.8120 0.6240 0.2111  1 S 1.51
O 0.8120 0.1880 0.2111  1 S 1.51
O 0.6240 0.8120 0.7889  1 S 1.51